Entry 1:
First-principles (PBE-GGA) data for a relaxed structure of HoErH2, as listed in the Alexandria database.

a b c (Å): 3.4611 3.4611 6.1273
angles (deg): 73.59 73.59 60.00
Atoms (fractional coordinates):
Ho  0.6718  0.6718  0.9847
Er  0.4913  0.4913  0.5260
H  0.0801  0.0801  0.7598
H  0.2568  0.2568  0.2295

Output
DFT total energy = -4.243 eV/atom
crystal system = trigonal
offset from the most stable computed form = 237 meV per atom



Entry 2:
First-principles (PBE-GGA) data for a relaxed structure of Ho4Er2H, as listed in the Alexandria database.

a b c (Å): 4.7960 4.7960 9.1176
angles (deg): 74.75 74.75 90.00
Atoms (fractional coordinates):
H  0.0000  0.0000  0.0000
Ho  0.8511  0.8511  0.2979
Ho  0.1489  0.1489  0.7021
Ho  0.0000  0.5000  0.0000
Ho  0.5000  0.0000  0.0000
Er  0.6477  0.6477  0.7047
Er  0.3523  0.3523  0.2953

Output
DFT total energy = -4.326 eV/atom
crystal system = tetragonal



Entry 3:
First-principles (PBE-GGA) data for a relaxed structure of ErHI, as listed in the Alexandria database.

a b c (Å): 7.1383 7.1383 7.6000
angles (deg): 101.96 101.96 123.97
Atoms (fractional coordinates):
Er  0.0403  0.2917  0.8784
Er  0.5417  0.7903  0.3784
Er  0.4133  0.1619  0.1216
Er  0.4119  0.1633  0.6216
H  0.3275  0.4169  0.1529
H  0.6669  0.0775  0.6529
H  0.4245  0.0139  0.3471
H  0.2639  0.1745  0.8471
I  0.8938  0.6723  0.3888
I  0.7550  0.0335  0.1112
I  0.9223  0.6438  0.8888
I  0.2835  0.5050  0.6112

Output
DFT total energy = -3.760 eV/atom
crystal system = orthorhombic



Entry 4:
First-principles (PBE-GGA) data for a relaxed structure of ErHI, as listed in the Alexandria database.

a b c (Å): 7.9864 6.0618 12.0022
angles (deg): 90.00 90.00 97.51
Atoms (fractional coordinates):
I  0.5033  0.2977  0.1459
I  0.5033  0.7977  0.3541
I  0.4967  0.7023  0.8541
I  0.4967  0.2023  0.6459
I  0.8384  0.7437  0.6004
I  0.1616  0.7563  0.1004
I  0.1616  0.2563  0.3996
I  0.8384  0.2437  0.8996
H  0.1531  0.9473  0.8369
H  0.8469  0.5527  0.3369
H  0.8469  0.0527  0.1631
H  0.1531  0.4473  0.6631
H  0.7874  0.7210  0.0122
H  0.2126  0.7790  0.5122
H  0.2126  0.2790  0.9878
H  0.7874  0.2210  0.4878
Er  0.7753  0.6967  0.1814
Er  0.0885  0.2385  0.1323
Er  0.9115  0.2615  0.6323
Er  0.9115  0.7615  0.8677
Er  0.7753  0.1967  0.3186
Er  0.2247  0.3033  0.8186
Er  0.2247  0.8033  0.6814
Er  0.0885  0.7385  0.3677

Output
DFT total energy = -3.840 eV/atom
crystal system = monoclinic



Entry 5:
First-principles (PBE-GGA) data for a relaxed structure of Er4HI5, as listed in the Alexandria database.

a b c (Å): 3.9056 8.6272 9.6099
angles (deg): 102.50 101.72 90.00
Atoms (fractional coordinates):
Er  0.3734  0.9363  0.7468
Er  0.0011  0.8025  0.0023
Er  0.6266  0.0637  0.2532
Er  0.9989  0.1975  0.9977
H  0.5000  0.0000  0.0000
I  0.8347  0.6575  0.6694
I  0.8273  0.1726  0.6546
I  0.1727  0.8274  0.3454
I  0.5000  0.5000  0.0000
I  0.1653  0.3425  0.3306

Output
DFT total energy = -3.826 eV/atom
crystal system = monoclinic



Entry 6:
First-principles (PBE-GGA) data for a relaxed structure of ErH2I4, as listed in the Alexandria database.

a b c (Å): 4.1313 8.0305 7.5558
angles (deg): 86.02 90.01 89.99
Atoms (fractional coordinates):
Er  0.0000  0.5000  0.0000
H  0.5002  0.1918  0.2516
H  0.4998  0.8082  0.7484
I  0.4999  0.6550  0.2233
I  0.9998  0.8125  0.7451
I  0.4999  0.3450  0.7767
I  0.0003  0.1874  0.2550

Output
DFT total energy = -3.030 eV/atom
crystal system = monoclinic